[1]
Material: HgPCl2
Method: DFT, PBE-GGA
State: optimized geometry

The calculation puts the uncorrected formation energy at 340 meV/atom. Its space-group type is Pmmm.

Lattice parameters (Å, degrees): 3.3734 4.2702 6.1874 90.00 90.00 90.00
With the nearest neighbours (Å) after each atom.
Element x y z (fractional)
Hg1 0.0000 0.0000 0.0000  4 Cl 2.72
P1 0.5000 0.0000 0.5000  4 Cl 2.72
Cl1 0.0000 0.5000 0.5000  4 P 2.72
Cl2 0.5000 0.5000 0.0000  4 Hg 2.72

***

[2]
Material: HgPCl2
Method: DFT, PBE-GGA
State: optimized geometry

The calculation puts the uncorrected formation energy at 57 meV/atom. Its space-group type is R-3m.

Lattice parameters (Å, degrees): 10.1239 10.1239 10.1239 18.73 18.73 18.73
With the nearest neighbours (Å) after each atom.
Element x y z (fractional)
Hg1 0.0000 0.0000 0.0000  6 Hg 3.29, 6 Cl 3.38
P1 0.5000 0.5000 0.5000  2 Cl 2.18
Cl1 0.4268 0.4268 0.4268  1 P 2.18
Cl2 0.5732 0.5732 0.5732  1 P 2.18

***

[3]
Material: HgPCl2
Method: DFT, PBE-GGA
State: optimized geometry

The calculation puts the uncorrected formation energy at -202 meV/atom. Its space-group type is Cm.

Lattice parameters (Å, degrees): 4.4837 4.4837 7.7507 91.27 91.27 49.94
With the nearest neighbours (Å) after each atom.
Element x y z (fractional)
Hg1 0.0000 0.0000 0.0000  3 P 2.62-2.67, 2 Cl 2.69
P1 0.3062 0.3062 0.8813  1 Cl 2.03
Cl1 0.3006 0.3006 0.6195  1 P 2.03
Cl2 0.5783 0.5783 0.2350  2 Hg 2.69

***

[4]
Material: Hg5P2Cl
Method: DFT, PBE-GGA
State: optimized geometry

The calculation puts the uncorrected formation energy at 42 meV/atom. Its space-group type is Fmm2.

Lattice parameters (Å, degrees): 7.3560 7.1058 6.7321 64.16 60.39 55.45
With the nearest neighbours (Å) after each atom.
Element x y z (fractional)
Hg1 0.0000 0.0000 0.0000  4 Hg 3.12
Hg2 0.1033 0.5792 0.4208  2 P 2.50
Hg3 0.4460 0.9258 0.5540  2 P 2.57
Hg4 0.5792 0.1033 0.8967  2 P 2.50
Hg5 0.9258 0.4460 0.0742  2 P 2.57
P1 0.2491 0.2491 0.2509  4 Hg 2.50-2.57
P2 0.7491 0.7491 0.7509  4 Hg 2.50-2.57
Cl1 0.4980 0.4980 0.5020  4 Hg 2.91-3.00